# 1
# LaNd2BiC (PBE, relaxed)
# **Total DFT energy (no corrections)**: -5.974 eV per atom
# **Volume**: 137.6 Å³/cell
# **E_form**: -0.4600 eV per atom
data_LaNd2BiC
_chemical_formula_sum 'La1 Nd2 Bi1 C1'
_cell_length_a 5.2021
_cell_length_b 5.1427
_cell_length_c 5.1427
_cell_angle_alpha 90.00
_cell_angle_beta 90.00
_cell_angle_gamma 90.00
_space_group_name_H-M_alt 'P 1'
_space_group_IT_number 1
loop_
_space_group_symop_operation_xyz
'x,y,z'
loop_
_atom_site_label
_atom_site_fract_x
_atom_site_fract_y
_atom_site_fract_z
La1 0.5000 0.0000 0.0000
Nd1 0.0000 0.0000 0.5000
Nd2 0.0000 0.5000 0.0000
Bi1 0.5000 0.5000 0.5000
C1 0.0000 0.0000 0.0000

# 2
# CaNdTlIn (PBE, relaxed)
# **Total DFT energy (no corrections)**: -3.401 eV per atom
# **Volume**: 117.3 Å³/cell
# **E_form**: -0.4320 eV per atom
data_CaNdTlIn
_chemical_formula_sum 'Ca1 Nd1 Tl1 In1'
_cell_length_a 5.4944
_cell_length_b 5.4944
_cell_length_c 5.4944
_cell_angle_alpha 60.00
_cell_angle_beta 60.00
_cell_angle_gamma 60.00
_space_group_name_H-M_alt 'P 1'
_space_group_IT_number 1
loop_
_space_group_symop_operation_xyz
'x,y,z'
loop_
_atom_site_label
_atom_site_fract_x
_atom_site_fract_y
_atom_site_fract_z
Tl1 0.5000 0.5000 0.5000
Nd1 0.7500 0.7500 0.7500
Ca1 0.2500 0.2500 0.2500
In1 0.0000 0.0000 0.0000

# 3
# InTe2W (PBE, relaxed)
# **Total DFT energy (no corrections)**: -4.556 eV per atom
# **ΔE_f (raw)**: 937.9 meV per atom
# **Volume**: 93.6 Å³/cell
data_InTe2W
_chemical_formula_sum 'In1 Te2 W1'
_cell_length_a 5.5855
_cell_length_b 5.5855
_cell_length_c 5.5855
_cell_angle_alpha 132.27
_cell_angle_beta 132.27
_cell_angle_gamma 69.81
_space_group_name_H-M_alt 'P 1'
_space_group_IT_number 1
loop_
_space_group_symop_operation_xyz
'x,y,z'
loop_
_atom_site_label
_atom_site_fract_x
_atom_site_fract_y
_atom_site_fract_z
In1 0.7500 0.2500 0.5000
Te1 0.0000 0.0000 0.0000
Te2 0.2500 0.7500 0.5000
W1 0.5000 0.5000 0.0000

# 4
# NaSiTe4Au2 (PBE, relaxed)
# **Total DFT energy (no corrections)**: -3.425 eV per atom
# **ΔE_f (raw)**: -191.9 meV per atom
# **Volume**: 256.7 Å³/cell
data_NaSiTe4Au2
_chemical_formula_sum 'Na1 Si1 Te4 Au2'
_cell_length_a 6.8891
_cell_length_b 6.8893
_cell_length_c 7.2787
_cell_angle_alpha 118.24
_cell_angle_beta 118.23
_cell_angle_gamma 90.02
_space_group_name_H-M_alt 'P 1'
_space_group_IT_number 1
loop_
_space_group_symop_operation_xyz
'x,y,z'
loop_
_atom_site_label
_atom_site_fract_x
_atom_site_fract_y
_atom_site_fract_z
Na1 0.0007 0.0007 0.0013
Si1 0.4999 0.4999 0.9998
Te1 0.5839 0.5839 0.7353
Te2 0.4163 0.8483 0.2646
Te3 0.8482 0.4163 0.2646
Te4 0.1515 0.1515 0.7354
Au1 0.7499 0.2499 0.4998
Au2 0.2499 0.7499 0.4998